Compound: SmHf2Al6
Source: Alexandria via LeMat-Bulk
Functional: PBE-GGA
Structure: relaxed

calculated total energy = -49.352 eV for the cell shown
energy relative to the lowest polymorph listed for this composition = 100 meV/atom
formation enthalpy at 0 K = -5.8 kcal/mol of atoms
symmetry = Immm

```
9
Lattice="-2.130 3.420 6.511 2.130 -3.420 6.511 2.130 3.420 -6.511" Properties=species:S:1:pos:R:3 pbc="T T T"
Sm 0.000 0.000 0.000
Hf 2.130 0.000 4.991
Hf 0.000 3.420 1.519
Al 2.130 1.425 -2.491
Al 2.130 2.165 0.000
Al 2.130 1.425 2.491
Al 0.000 1.995 4.020
Al 0.000 1.255 6.511
Al 0.000 1.995 9.001
```